(1)
{"formula": "NpSiNiH", "functional": "PBE", "state": "relaxed", "lattice_angstrom": [[-1.0009, 2.7412, 2.8930], [-0.9865, -3.9589, 0.4916], [3.1821, -0.5872, 1.6573]], "species": ["Np", "Si", "Ni", "H"], "fractional_positions": [[0.5719, 0.1438, 0.3099], [0.9052, 0.8105, 0.8098], [0.2386, 0.4771, 0.8099], [0.2386, 0.4772, 0.3095]], "mass_density_g_cm3": 10.14, "dft_energy_ha_per_atom": -0.266, "sg": "P-6m2, No. 187"}

(2)
{"formula": "K3Ac2PuO6", "functional": "PBE", "state": "relaxed", "lattice_angstrom": [[6.5435, -0.0035, 0.0035], [-3.2732, 5.6660, 0.0035], [-1.0873, -1.8827, 6.3327]], "species": ["K", "K", "K", "Ac", "Ac", "Pu", "O", "O", "O", "O", "O", "O"], "fractional_positions": [[0.1605, 0.8395, 0.5000], [0.8395, 0.1605, 0.5000], [0.5000, 0.5000, 0.5000], [0.3330, 0.6670, 0.0000], [0.6670, 0.3330, 0.0000], [0.0000, 0.0000, 0.0000], [0.9361, 0.6196, 0.8073], [0.7466, 0.7466, 0.1916], [0.0639, 0.3804, 0.1927], [0.6196, 0.9361, 0.8073], [0.2534, 0.2534, 0.8084], [0.3804, 0.0639, 0.1927]], "mass_density_g_cm3": 6.44, "dft_energy_ha_per_atom": -0.261, "sg": "C2/m, No. 12"}

(3)
{"formula": "AlFe2PH", "functional": "PBE", "state": "relaxed", "lattice_angstrom": [[4.6138, 0.0000, 0.0000], [0.0000, 4.4396, 0.0000], [0.0000, 0.0000, 4.6138]], "species": ["P", "Fe", "Fe", "H", "Al"], "fractional_positions": [[0.0000, 0.5000, 0.0000], [0.0000, 0.0000, 0.5000], [0.5000, 0.0000, 0.0000], [0.5000, 0.5000, 0.5000], [0.0000, 0.0000, 0.0000]], "mass_density_g_cm3": 3.00, "relative_energy_mev_per_atom": 1257, "sg": "P4/mmm, No. 123"}